Entry 1:
Density functional theory data (GGA-PBE) for a geometry-optimized CaPaIn2O8 structure.

a b c (Å): 6.232 6.232 6.232
angles (deg): 111.97 111.97 104.58
Last column: magnetic moment on the atom in μB.
Positions (direct):
1 Ca 0.250 0.750 0.500  0.05
2 Pa 0.000 0.000 0.000  -0.03
3 In 0.750 0.250 0.500  0.01
4 In 0.500 0.500 0.000  -0.01
5 O 0.350 0.043 0.307  0.07
6 O 0.277 0.439 0.162  0.42
7 O 0.277 0.114 0.838  0.42
8 O 0.737 0.043 0.693  0.07
9 O 0.886 0.723 0.162  0.42
10 O 0.957 0.263 0.307  0.07
11 O 0.957 0.650 0.693  0.07
12 O 0.561 0.723 0.838  0.42

Density of states at the Fermi level: 7.228 states/eV/cell
Total DFT energy (no corrections): -6.520 eV/atom

***

Entry 2:
Density functional theory data (GGA-PBE) for a geometry-optimized Ca2PaInO6 structure.

a b c (Å): 4.475 5.989 5.989
angles (deg): 90.00 90.00 90.00
Last column: magnetic moment on the atom in μB.
Positions (direct):
1 Ca 0.000 0.500 0.000  0.00
2 Ca 0.000 0.000 0.500  0.00
3 Pa 0.636 0.500 0.500  0.00
4 In 0.632 0.000 0.000  0.00
5 O 0.716 0.252 0.252  0.00
6 O 0.716 0.252 0.748  0.00
7 O 0.152 0.500 0.500  0.00
8 O 0.163 0.000 0.000  0.06
9 O 0.716 0.748 0.748  0.00
10 O 0.716 0.748 0.252  0.00

Density of states at the Fermi level: 0.000 states/eV/cell
Total DFT energy (no corrections): -7.277 eV/atom

***

Entry 3:
Density functional theory data (GGA-PBE) for a geometry-optimized Ca2InPbO5 structure.

a b c (Å): 3.409 6.896 12.268
angles (deg): 90.00 90.00 104.31
Positions (direct):
1 Ca 0.832 0.664 0.756
2 Ca 0.062 0.124 0.665
3 Ca 0.168 0.336 0.256
4 Ca 0.938 0.876 0.165
5 In 0.742 0.483 0.525
6 In 0.258 0.517 0.025
7 Pb 0.550 0.100 0.939
8 Pb 0.450 0.900 0.439
9 O 0.415 0.829 0.042
10 O 0.736 0.473 0.913
11 O 0.469 0.939 0.772
12 O 0.240 0.481 0.660
13 O 0.906 0.811 0.552
14 O 0.585 0.171 0.542
15 O 0.264 0.527 0.413
16 O 0.531 0.061 0.272
17 O 0.760 0.519 0.160
18 O 0.094 0.189 0.052

Density of states at the Fermi level: 6.269 states/eV/cell
Total DFT energy (no corrections): -5.840 eV/atom

***

Entry 4:
Density functional theory data (GGA-PBE) for a geometry-optimized Ca2InPbO6 structure.

a b c (Å): 5.796 6.033 7.978
angles (deg): 90.00 90.42 90.00
Last column: magnetic moment on the atom in μB.
Positions (direct):
1 Ca 0.016 0.938 0.248  0.00
2 Ca 0.516 0.562 0.748  0.00
3 Ca 0.984 0.062 0.752  0.00
4 Ca 0.484 0.438 0.252  0.00
5 In 0.500 0.000 0.500  -0.01
6 In 0.000 0.500 0.000  -0.01
7 Pb 0.500 0.000 0.000  -0.01
8 Pb 0.000 0.500 0.500  -0.01
9 O 0.301 0.702 0.075  0.19
10 O 0.801 0.798 0.575  0.19
11 O 0.699 0.298 0.925  0.19
12 O 0.199 0.202 0.425  0.19
13 O 0.304 0.703 0.428  0.18
14 O 0.804 0.797 0.928  0.18
15 O 0.696 0.297 0.572  0.18
16 O 0.196 0.203 0.072  0.18
17 O 0.862 0.567 0.249  0.07
18 O 0.362 0.933 0.749  0.07
19 O 0.138 0.433 0.751  0.07
20 O 0.638 0.067 0.251  0.07

Density of states at the Fermi level: 10.661 states/eV/cell
Total DFT energy (no corrections): -5.790 eV/atom

***

Entry 5:
Density functional theory data (GGA-PBE) for a geometry-optimized Ca2InPdO6 structure.

a b c (Å): 5.553 5.769 7.917
angles (deg): 90.00 90.46 90.00
Last column: magnetic moment on the atom in μB.
Positions (direct):
1 Ca 0.017 0.937 0.250  0.00
2 Ca 0.517 0.563 0.750  0.00
3 Ca 0.983 0.063 0.750  0.00
4 Ca 0.483 0.437 0.250  0.00
5 In 0.500 0.000 0.000  0.00
6 In 0.000 0.500 0.500  0.00
7 Pd 0.500 0.000 0.500  0.11
8 Pd 0.000 0.500 0.000  0.11
9 O 0.296 0.689 0.058  0.05
10 O 0.796 0.811 0.558  0.05
11 O 0.704 0.311 0.942  0.05
12 O 0.204 0.189 0.442  0.05
13 O 0.317 0.709 0.437  0.06
14 O 0.817 0.791 0.937  0.06
15 O 0.683 0.291 0.563  0.06
16 O 0.183 0.209 0.063  0.06
17 O 0.885 0.544 0.240  0.03
18 O 0.385 0.956 0.740  0.03
19 O 0.115 0.456 0.760  0.03
20 O 0.615 0.044 0.260  0.03

Density of states at the Fermi level: 16.876 states/eV/cell
Total DFT energy (no corrections): -5.828 eV/atom

***

Entry 6:
Density functional theory data (GGA-PBE) for a geometry-optimized Ca2PrInO structure.

a b c (Å): 5.087 4.868 4.868
angles (deg): 90.00 90.00 90.00
Positions (direct):
1 Ca 0.000 0.000 0.500
2 Ca 0.000 0.500 0.000
3 Pr 0.500 0.000 0.000
4 In 0.500 0.500 0.500
5 O 0.000 0.000 0.000

Density of states at the Fermi level: 1.258 states/eV/cell
Total DFT energy (no corrections): -4.712 eV/atom

***

Entry 7:
Density functional theory data (GGA-PBE) for a geometry-optimized CaInPtO4 structure.

a b c (Å): 6.440 6.699 6.459
angles (deg): 118.82 90.00 118.73
Last column: magnetic moment on the atom in μB.
Positions (direct):
1 Ca 0.868 0.736 0.118  0.01
2 Ca 0.132 0.264 0.882  0.01
3 In 0.500 0.000 0.500  -0.01
4 In 0.500 0.000 0.000  -0.01
5 Pt 0.500 0.500 0.500  0.58
6 Pt 0.000 0.500 0.500  0.58
7 O 0.731 0.463 0.687  0.02
8 O 0.275 0.000 0.250  0.14
9 O 0.725 0.000 0.250  0.14
10 O 0.731 0.463 0.276  0.02
11 O 0.269 0.537 0.724  0.02
12 O 0.725 0.000 0.750  0.14
13 O 0.275 0.000 0.750  0.14
14 O 0.269 0.537 0.313  0.02

Density of states at the Fermi level: 0.901 states/eV/cell
Total DFT energy (no corrections): -5.831 eV/atom

***

Entry 8:
Density functional theory data (GGA-PBE) for a geometry-optimized CaIn2PtO structure.

a b c (Å): 6.131 4.939 6.131
angles (deg): 90.00 90.00 90.00
Positions (direct):
1 Ca 0.000 0.000 0.000
2 O 0.500 0.500 0.500
3 Pt 0.000 0.500 0.000
4 In 0.000 0.000 0.500
5 In 0.500 0.000 0.000

Density of states at the Fermi level: 7.540 states/eV/cell
Total DFT energy (no corrections): -2.700 eV/atom

***

Entry 9:
Density functional theory data (GGA-PBE) for a geometry-optimized CaInPt2O structure.

a b c (Å): 4.565 4.480 4.565
angles (deg): 90.00 90.00 90.00
Positions (direct):
1 Ca 0.500 0.500 0.500
2 O 0.000 0.000 0.000
3 Pt 0.000 0.000 0.500
4 Pt 0.500 0.000 0.000
5 In 0.000 0.500 0.000

Density of states at the Fermi level: 1.293 states/eV/cell
Total DFT energy (no corrections): -4.633 eV/atom

***

Entry 10:
Density functional theory data (GGA-PBE) for a geometry-optimized CaPuInO6 structure.

a b c (Å): 5.527 5.527 10.092
angles (deg): 90.00 90.00 120.00
Last column: magnetic moment on the atom in μB.
Positions (direct):
1 Ca 0.000 0.000 0.000  0.00
2 Ca 0.000 0.000 0.500  0.00
3 Pu 0.667 0.333 0.250  1.41
4 Pu 0.333 0.667 0.750  1.41
5 In 0.333 0.667 0.250  0.00
6 In 0.667 0.333 0.750  0.00
7 O 0.658 0.633 0.138  -0.06
8 O 0.976 0.342 0.138  -0.06
9 O 0.342 0.976 0.638  -0.06
10 O 0.024 0.658 0.862  -0.06
11 O 0.367 0.342 0.362  -0.06
12 O 0.976 0.633 0.362  -0.06
13 O 0.633 0.976 0.862  -0.06
14 O 0.658 0.024 0.362  -0.06
15 O 0.024 0.367 0.638  -0.06
16 O 0.367 0.024 0.138  -0.06
17 O 0.633 0.658 0.638  -0.06
18 O 0.342 0.367 0.862  -0.06

Total DFT energy (no corrections): -7.667 eV/atom

***

Entry 11:
Density functional theory data (GGA-PBE) for a geometry-optimized Ca2PuInO6 structure.

a b c (Å): 4.338 5.956 5.956
angles (deg): 90.00 90.00 90.00
Last column: magnetic moment on the atom in μB.
Positions (direct):
1 Ca 0.010 0.500 0.000  0.01
2 Ca 0.010 0.000 0.500  0.01
3 Pu 0.652 0.000 0.000  3.29
4 In 0.632 0.500 0.500  -0.01
5 O 0.709 0.246 0.246  -0.06
6 O 0.709 0.246 0.754  -0.06
7 O 0.151 0.500 0.500  -0.04
8 O 0.158 0.000 0.000  -0.08
9 O 0.709 0.754 0.754  -0.06
10 O 0.709 0.754 0.246  -0.06

Density of states at the Fermi level: 6.923 states/eV/cell
Total DFT energy (no corrections): -7.492 eV/atom

***

Entry 12:
Density functional theory data (GGA-PBE) for a geometry-optimized CaPuIn2O8 structure.

a b c (Å): 5.045 5.044 6.785
angles (deg): 90.00 90.00 91.07
Last column: magnetic moment on the atom in μB.
Positions (direct):
1 Ca 0.000 0.000 0.500  0.01
2 Pu 0.000 0.000 0.000  0.90
3 In 0.500 0.500 0.751  -0.01
4 In 0.500 0.500 0.249  -0.01
5 O 0.183 0.816 0.212  -0.04
6 O 0.699 0.699 0.000  -0.03
7 O 0.817 0.184 0.212  -0.04
8 O 0.817 0.184 0.788  -0.04
9 O 0.301 0.301 0.000  -0.03
10 O 0.183 0.816 0.788  -0.04
11 O 0.681 0.682 0.500  0.26
12 O 0.319 0.318 0.500  0.26

Density of states at the Fermi level: 6.176 states/eV/cell
Total DFT energy (no corrections): -7.048 eV/atom